The following is a DFT calculation (GGA+U) of a geometry-optimized K2CoHgF6 structure.

Computed properties:
Its size of the total moment is 3.00 μB/f.u. The mass density comes out at 4.512 g/cm3. The space group is No. 99. Its total energy is -4.06 eV per atom.

Cell: 4.4463 6.1146 6.1146 Å, 90.00 90.00 90.00°
Last column: magnetic moment on the atom in μB.
Positions (direct):
K  0.1405  0.5000  0.0000  0.00
F  0.6473  0.7679  0.2321  0.03
F  0.6473  0.2321  0.7679  0.03
F  0.6473  0.2321  0.2321  0.03
F  0.1464  0.0000  0.0000  0.04
K  0.1405  0.0000  0.5000  0.00
Hg  0.6422  0.5000  0.5000  0.03
F  0.1428  0.5000  0.5000  0.01
Co  0.6452  0.0000  0.0000  2.76
F  0.6473  0.7679  0.7679  0.03